LiTi3MnCrP6O24, relaxed, DFT PBE with a Hubbard U; energy = -279.76 eV/f.u.; total magnetic moment = 7.97 Bohr magnetons per cell
1.0
4.310 2.488 7.057
-4.310 2.488 7.057
0.000 -4.976 7.057
Li Ti Mn Cr P O
1 3 1 1 6 24
Direct
0.000 0.000 0.000
0.140 0.140 0.140
0.644 0.644 0.644
0.858 0.858 0.858
0.498 0.498 0.498
0.356 0.356 0.356
0.041 0.750 0.457
0.249 0.538 0.958
0.457 0.041 0.750
0.538 0.958 0.249
0.750 0.457 0.041
0.958 0.249 0.538
0.000 0.193 0.373
0.055 0.913 0.265
0.086 0.730 0.930
0.117 0.302 0.507
0.193 0.373 0.000
0.232 0.583 0.446
0.265 0.055 0.913
0.302 0.507 0.117
0.373 0.000 0.193
0.417 0.550 0.765
0.446 0.232 0.583
0.501 0.877 0.689
0.507 0.117 0.302
0.550 0.765 0.417
0.583 0.446 0.232
0.619 0.994 0.810
0.689 0.501 0.877
0.730 0.930 0.086
0.765 0.417 0.550
0.810 0.619 0.994
0.877 0.689 0.501
0.913 0.265 0.055
0.930 0.086 0.730
0.994 0.810 0.619